Entry 1:
{
  "formula": "CaNb2Pb",
  "functional": "GGA-PBE",
  "state": "relaxed",
  "spacegroup": "I-42d",
  "final_energy_ev_per_cell": -44.79,
  "lattice": [[-4.1485, 4.1485, 2.8869], [4.1485, -4.1485, 2.8869], [4.1485, 4.1485, -2.8869]],
  "species": ["Ca", "Ca", "Nb", "Nb", "Nb", "Nb", "Pb", "Pb"],
  "frac_coords": [[0.0000, 0.0000, 0.0000], [0.7500, 0.2500, 0.5000], [0.1566, 0.6250, 0.0316], [0.3750, 0.4066, 0.5316], [0.5934, 0.1250, 0.9684], [0.8750, 0.8434, 0.4684], [0.2500, 0.7500, 0.5000], [0.5000, 0.5000, 0.0000]]
}


Entry 2:
{
  "formula": "La4Tm3PaAs8",
  "functional": "GGA-PBE",
  "state": "relaxed",
  "spacegroup": "R-3m",
  "final_energy_ev_per_cell": -103.51,
  "lattice": [[4.2062, 2.4284, 6.9193], [-4.2062, 2.4284, 6.9193], [0.0000, -4.8569, 6.9193]],
  "species": ["La", "La", "La", "La", "Tm", "Tm", "Tm", "Pa", "As", "As", "As", "As", "As", "As", "As", "As"],
  "frac_coords": [[0.0000, 0.0000, 0.0000], [0.0000, 0.5000, 0.5000], [0.5000, 0.0000, 0.5000], [0.5000, 0.5000, 0.0000], [0.0000, 0.0000, 0.5000], [0.0000, 0.5000, 0.0000], [0.5000, 0.0000, 0.0000], [0.5000, 0.5000, 0.5000], [0.2443, 0.2443, 0.2443], [0.2460, 0.7420, 0.7420], [0.2580, 0.2580, 0.7540], [0.2580, 0.7540, 0.2580], [0.7420, 0.2460, 0.7420], [0.7420, 0.7420, 0.2460], [0.7540, 0.2580, 0.2580], [0.7557, 0.7557, 0.7557]]
}


Entry 3:
{
  "formula": "DyPaZnPt",
  "functional": "GGA-PBE",
  "state": "relaxed",
  "spacegroup": "F-43m",
  "final_energy_ev_per_cell": -23.33,
  "lattice": [[0.0000, 3.5270, 3.5270], [3.5270, 0.0000, 3.5270], [3.5270, 3.5270, 0.0000]],
  "species": ["Dy", "Pa", "Zn", "Pt"],
  "frac_coords": [[0.0000, 0.0000, 0.0000], [0.5000, 0.5000, 0.5000], [0.7500, 0.7500, 0.7500], [0.2500, 0.2500, 0.2500]]
}


Entry 4:
{
  "formula": "TbAg5Cl12",
  "functional": "GGA-PBE",
  "state": "relaxed",
  "spacegroup": "C2/m",
  "final_energy_ev_per_cell": -54.25,
  "e_form_raw_mev_per_atom": -733,
  "lattice": [[3.2812, -6.0862, 0.0000], [3.2812, 6.0862, 0.0000], [-2.4981, 0.0000, 12.5401]],
  "species": ["Tb", "Ag", "Ag", "Ag", "Ag", "Ag", "Cl", "Cl", "Cl", "Cl", "Cl", "Cl", "Cl", "Cl", "Cl", "Cl", "Cl", "Cl"],
  "frac_coords": [[0.0000, 0.0000, 0.0000], [0.1668, 0.8332, 0.5000], [0.3419, 0.6581, 0.0000], [0.5000, 0.5000, 0.5000], [0.6581, 0.3419, 0.0000], [0.8332, 0.1668, 0.5000], [0.0648, 0.3844, 0.1140], [0.1528, 0.1528, 0.3883], [0.1804, 0.5140, 0.6114], [0.2704, 0.2704, 0.8715], [0.3844, 0.0648, 0.1140], [0.4860, 0.8196, 0.3886], [0.5140, 0.1804, 0.6114], [0.6156, 0.9352, 0.8860], [0.7296, 0.7296, 0.1285], [0.8196, 0.4860, 0.3886], [0.8472, 0.8472, 0.6117], [0.9352, 0.6156, 0.8860]]
}


Entry 5:
{
  "formula": "CaBiAsO6",
  "functional": "GGA-PBE",
  "state": "relaxed",
  "spacegroup": "P2_1",
  "final_energy_ev_per_cell": -106.50,
  "e_form_raw_mev_per_atom": -1441,
  "lattice": [[7.1451, 0.0000, 0.0000], [0.0000, 5.1839, 0.0000], [-1.7876, 0.0000, 7.3254]],
  "species": ["Ca", "Ca", "Bi", "Bi", "As", "As", "O", "O", "O", "O", "O", "O", "O", "O", "O", "O", "O", "O"],
  "frac_coords": [[0.2460, 0.0000, 0.0747], [0.7540, 0.5000, 0.9253], [0.4100, 0.9451, 0.5889], [0.5900, 0.4451, 0.4111], [0.2179, 0.5358, 0.7827], [0.7821, 0.0358, 0.2173], [0.0739, 0.6114, 0.9253], [0.1592, 0.6893, 0.5696], [0.2372, 0.2052, 0.7756], [0.3228, 0.2195, 0.3726], [0.3971, 0.7478, 0.3208], [0.4305, 0.7142, 0.8722], [0.5695, 0.2142, 0.1278], [0.6029, 0.2478, 0.6792], [0.6772, 0.7195, 0.6274], [0.7628, 0.7052, 0.2244], [0.8408, 0.1893, 0.4304], [0.9261, 0.1114, 0.0747]]
}


Entry 6:
{
  "formula": "Sc2CdRuAu",
  "functional": "GGA-PBE",
  "state": "relaxed",
  "spacegroup": "P4/mmm",
  "final_energy_ev_per_cell": -26.14,
  "lattice": [[4.8381, 0.0000, 0.0000], [0.0000, 4.8381, 0.0000], [0.0000, 0.0000, 5.1587]],
  "species": ["Sc", "Sc", "Cd", "Ru", "Au"],
  "frac_coords": [[0.0000, 0.5000, 0.0000], [0.5000, 0.0000, 0.0000], [0.0000, 0.0000, 0.5000], [0.0000, 0.0000, 0.0000], [0.5000, 0.5000, 0.5000]]
}


Entry 7:
{
  "formula": "Y2Mg",
  "functional": "GGA-PBE",
  "state": "relaxed",
  "spacegroup": "P-62m",
  "final_energy_ev_per_cell": -43.61,
  "lattice": [[9.3885, 0.0000, 0.0000], [-4.6942, 8.1306, 0.0000], [0.0000, 0.0000, 3.4819]],
  "species": ["Y", "Y", "Y", "Y", "Y", "Y", "Mg", "Mg", "Mg"],
  "frac_coords": [[0.0000, 0.3704, 0.0000], [0.0000, 0.7025, 0.5000], [0.2975, 0.2975, 0.5000], [0.3704, 0.0000, 0.0000], [0.6296, 0.6296, 0.0000], [0.7025, 0.0000, 0.5000], [0.0000, 0.0000, 0.0000], [0.3333, 0.6667, 0.5000], [0.6667, 0.3333, 0.5000]]
}


Entry 8:
{
  "formula": "CdN2F",
  "functional": "GGA-PBE",
  "state": "relaxed",
  "spacegroup": "P1",
  "final_energy_ev_per_cell": -21.91,
  "e_form_raw_mev_per_atom": -619,
  "lattice": [[3.3977, 0.0000, 0.0000], [1.6889, 3.0592, 0.0000], [0.9204, -0.4410, 9.0469]],
  "species": ["Cd", "N", "N", "F"],
  "frac_coords": [[0.0000, 0.0000, 0.0000], [0.0036, 0.4895, 0.4387], [0.8507, 0.6013, 0.5549], [0.3706, 0.3277, 0.8760]]
}